[1]
# CsPrZnSe3

A geometry-optimized CsPrZnSe3 structure (PBE, OQMD).

```
data_CsPrZnSe3
_chemical_formula_sum 'Cs4 Pr4 Zn4 Se12'
_space_group_name_H-M_alt 'C 1 2/m 1'
_space_group_IT_number 12
_cell_length_a 19.2277
_cell_length_b 4.4757
_cell_length_c 9.2391
_cell_angle_alpha 90.00
_cell_angle_beta 99.97
_cell_angle_gamma 90.00
loop_
_space_group_symop_operation_xyz
'x,y,z'
'-x,-y,-z'
'-x,y,-z'
'x,-y,z'
'x+1/2,y+1/2,z'
'-x+1/2,-y+1/2,-z'
'-x+1/2,y+1/2,-z'
'x+1/2,-y+1/2,z'
loop_
_atom_site_label
_atom_site_fract_x
_atom_site_fract_y
_atom_site_fract_z
_atom_site_occupancy
Cs1 0.1467 0.0000 0.0648 1
Pr1 0.1621 0.0000 0.5539 1
Zn1 0.0308 0.5000 0.7481 1
Se1 0.0000 0.0000 0.5000 1
Se2 0.0000 0.5000 0.0000 1
Se3 0.1565 0.5000 0.7694 1
Se4 0.1823 0.5000 0.3579 1
```

E	-4.071	eV/atom
total magnetic moment	0.00	μB/cell

[2]
# CsPrSi

A geometry-optimized CsPrSi structure (PBE, OQMD).

```
data_CsPrSi
_chemical_formula_sum 'Cs4 Pr4 Si4'
_space_group_name_H-M_alt 'F -4 3 m'
_space_group_IT_number 216
_space_group_name_Hall 'F -4 2 3'
_cell_length_a 7.7210
_cell_length_b 7.7210
_cell_length_c 7.7210
_cell_angle_alpha 90.00
_cell_angle_beta 90.00
_cell_angle_gamma 90.00
loop_
_atom_site_label
_atom_site_fract_x
_atom_site_fract_y
_atom_site_fract_z
_atom_site_occupancy
Cs1 0.0000 0.0000 0.0000 1
Pr1 0.0000 0.0000 0.5000 1
Si1 0.2500 0.2500 0.2500 1
```

E	-3.327	eV/atom
total magnetic moment	0.00	μB/cell

[3]
# CsPrSmTe3

A geometry-optimized CsPrSmTe3 structure (PBE, OQMD).

```
data_CsPrSmTe3
_chemical_formula_sum 'Cs4 Pr4 Sm4 Te12'
_space_group_name_H-M_alt 'C m c m'
_space_group_IT_number 63
_space_group_name_Hall '-C 2c 2'
_cell_length_a 5.3293
_cell_length_b 17.7983
_cell_length_c 10.8752
_cell_angle_alpha 90.00
_cell_angle_beta 90.00
_cell_angle_gamma 90.00
loop_
_atom_site_label
_atom_site_fract_x
_atom_site_fract_y
_atom_site_fract_z
_atom_site_occupancy
Cs1 0.0000 0.2284 0.2500 1
Pr1 0.0000 0.4826 0.2500 1
Sm1 0.0000 0.0000 0.0000 1
Te1 0.0000 0.0992 0.7500 1
Te2 0.0000 0.3930 0.5414 1
```

E	-4.555	eV/atom
total magnetic moment	2.01	μB/cell